# RbIn2Bi PBE-GGA optimized geometry
# Energy of formation (eV/atom): -0.03
# V (Å³ per atom): 39.4
data_RbIn2Bi
_chemical_formula_sum 'Rb4 In8 Bi4'
_space_group_name_H-M_alt 'I -4 2 d'
_space_group_IT_number 122
_space_group_name_Hall 'I -4 2bw'
_cell_length_a 9.446
_cell_length_b 9.446
_cell_length_c 7.073
_cell_angle_alpha 90.00
_cell_angle_beta 90.00
_cell_angle_gamma 90.00
loop_
_atom_site_label
_atom_site_type_symbol
_atom_site_fract_x
_atom_site_fract_y
_atom_site_fract_z
Rb1 Rb 0.000 0.000 0.000
In1 In 0.192 0.750 0.625
Bi1 Bi 0.000 0.000 0.500

***

# Rb5In4Bi4 PBE-GGA optimized geometry
# Energy of formation (eV/atom): -0.21
# V (Å³ per atom): 42.0
data_Rb5In4Bi4
_chemical_formula_sum 'Rb10 In8 Bi8'
_space_group_name_H-M_alt 'I 4/m'
_space_group_IT_number 87
_space_group_name_Hall '-I 4'
_cell_length_a 13.451
_cell_length_b 13.451
_cell_length_c 6.033
_cell_angle_alpha 90.00
_cell_angle_beta 90.00
_cell_angle_gamma 90.00
loop_
_atom_site_label
_atom_site_type_symbol
_atom_site_fract_x
_atom_site_fract_y
_atom_site_fract_z
Rb1 Rb 0.000 0.000 0.000
Rb2 Rb 0.183 0.814 0.500
In1 In 0.003 0.379 0.500
Bi1 Bi 0.003 0.296 0.000

***

Q: Among the records above, which one has the highest energy of formation?
A: RbIn2Bi

***

Q: Among the records above, which one has the lowest energy of formation?
A: Rb5In4Bi4

***

Q: Which of these has the highest V?
A: Rb5In4Bi4

***

Copy entry 2 word for word.
# Rb5In4Bi4 PBE-GGA optimized geometry
# Energy of formation (eV/atom): -0.21
# V (Å³ per atom): 42.0
data_Rb5In4Bi4
_chemical_formula_sum 'Rb10 In8 Bi8'
_space_group_name_H-M_alt 'I 4/m'
_space_group_IT_number 87
_space_group_name_Hall '-I 4'
_cell_length_a 13.451
_cell_length_b 13.451
_cell_length_c 6.033
_cell_angle_alpha 90.00
_cell_angle_beta 90.00
_cell_angle_gamma 90.00
loop_
_atom_site_label
_atom_site_type_symbol
_atom_site_fract_x
_atom_site_fract_y
_atom_site_fract_z
Rb1 Rb 0.000 0.000 0.000
Rb2 Rb 0.183 0.814 0.500
In1 In 0.003 0.379 0.500
Bi1 Bi 0.003 0.296 0.000